(1)
{
  "formula": "LaAlHg",
  "functional": "PBE-GGA",
  "state": "relaxed",
  "cell": [[11.132, 0.000, 0.000], [0.000, 4.778, 0.000], [-5.261, 0.000, 5.745]],
  "species": ["La", "La", "La", "La", "Al", "Al", "Al", "Al", "Hg", "Hg", "Hg", "Hg"],
  "frac_coords": [[0.038, 0.000, 0.294], [0.462, 0.500, 0.706], [0.538, 0.500, 0.294], [0.962, 0.000, 0.706], [0.155, 0.500, 0.106], [0.345, 0.000, 0.894], [0.655, 0.000, 0.106], [0.845, 0.500, 0.894], [0.175, 0.500, 0.733], [0.325, 0.000, 0.267], [0.675, 0.000, 0.733], [0.825, 0.500, 0.267]],
  "e_form_ev_per_atom": -0.489
}



(2)
{
  "formula": "Mg2CrHgW",
  "functional": "PBE-GGA",
  "state": "relaxed",
  "cell": [[4.755, 0.000, 0.000], [0.000, 4.755, 0.000], [0.000, 0.000, 4.898]],
  "species": ["Mg", "Mg", "Cr", "Hg", "W"],
  "frac_coords": [[0.000, 0.500, 0.000], [0.500, 0.000, 0.000], [0.000, 0.000, 0.000], [0.000, 0.000, 0.500], [0.500, 0.500, 0.500]],
  "e_form_ev_per_atom": 1.856
}



(3)
{
  "formula": "Cs3Au2Br6",
  "functional": "PBE-GGA",
  "state": "relaxed",
  "cell": [[-2.668, 2.668, 15.003], [2.668, -2.668, 15.003], [2.668, 2.668, -15.003]],
  "species": ["Cs", "Cs", "Cs", "Au", "Au", "Br", "Br", "Br", "Br", "Br", "Br"],
  "frac_coords": [[0.000, 0.000, 0.000], [0.182, 0.182, 0.000], [0.818, 0.818, 0.000], [0.401, 0.401, 0.000], [0.599, 0.599, 0.000], [0.086, 0.586, 0.500], [0.305, 0.305, 0.000], [0.414, 0.914, 0.500], [0.586, 0.086, 0.500], [0.695, 0.695, 0.000], [0.914, 0.414, 0.500]],
  "formation_energy_uncorrected_ev_per_atom": -1.03
}



(4)
{
  "formula": "SnRhIN2",
  "functional": "PBE-GGA",
  "state": "relaxed",
  "cell": [[4.190, 0.000, 0.000], [0.000, 4.190, 0.000], [0.000, 0.000, 5.494]],
  "species": ["Sn", "Rh", "I", "N", "N"],
  "frac_coords": [[0.000, 0.000, 0.000], [0.500, 0.500, 0.500], [0.500, 0.500, 0.000], [0.000, 0.500, 0.500], [0.500, 0.000, 0.500]],
  "formation_energy_uncorrected_ev_per_atom": 1.29
}



(5)
{
  "formula": "CaYPt",
  "functional": "PBE-GGA",
  "state": "relaxed",
  "cell": [[4.139, 0.000, 0.000], [-2.070, 3.585, 0.000], [0.000, 0.000, 6.400]],
  "species": ["Ca", "Y", "Pt"],
  "frac_coords": [[0.000, 0.000, 0.000], [0.333, 0.667, 0.477], [0.667, 0.333, 0.260]],
  "e_form_ev_per_atom": -0.701
}



(6)
{
  "formula": "Na4TlBi4",
  "functional": "PBE-GGA",
  "state": "relaxed",
  "cell": [[-5.118, 5.118, 2.554], [5.118, -5.118, 2.554], [5.118, 5.118, -2.554]],
  "species": ["Na", "Na", "Na", "Na", "Tl", "Bi", "Bi", "Bi", "Bi"],
  "frac_coords": [[0.167, 0.167, 0.333], [0.167, 0.833, 0.000], [0.833, 0.167, 0.000], [0.833, 0.833, 0.667], [0.500, 0.500, 0.000], [0.170, 0.500, 0.670], [0.500, 0.170, 0.670], [0.500, 0.830, 0.330], [0.830, 0.500, 0.330]],
  "e_form_ev_per_atom": -0.128
}



(7)
{
  "formula": "Li3ZrSn",
  "functional": "PBE-GGA",
  "state": "relaxed",
  "cell": [[4.755, 0.000, 0.000], [0.000, 4.755, 0.000], [0.000, 0.000, 4.755]],
  "species": ["Li", "Li", "Li", "Zr", "Sn"],
  "frac_coords": [[0.000, 0.000, 0.500], [0.000, 0.500, 0.000], [0.500, 0.000, 0.000], [0.500, 0.500, 0.500], [0.000, 0.000, 0.000]],
  "e_form_ev_per_atom": 0.478
}



(8)
{
  "formula": "Tl6Hg4Au",
  "functional": "PBE-GGA",
  "state": "relaxed",
  "cell": [[-4.349, 4.349, 4.930], [4.349, -4.349, 4.930], [4.349, 4.349, -4.930]],
  "species": ["Tl", "Tl", "Tl", "Tl", "Tl", "Tl", "Hg", "Hg", "Hg", "Hg", "Au"],
  "frac_coords": [[0.000, 0.500, 0.500], [0.094, 0.094, 0.720], [0.375, 0.375, 0.280], [0.500, 0.000, 0.500], [0.625, 0.906, 0.000], [0.906, 0.625, 0.000], [0.276, 0.609, 0.000], [0.391, 0.391, 0.667], [0.609, 0.276, 0.000], [0.724, 0.724, 0.333], [0.000, 0.000, 0.000]],
  "e_form_ev_per_atom": 0.127
}



(9)
{
  "formula": "VPPb3",
  "functional": "PBE-GGA",
  "state": "relaxed",
  "cell": [[5.375, 0.000, 0.000], [0.000, 5.375, 0.000], [0.000, 0.000, 5.375]],
  "species": ["V", "P", "Pb", "Pb", "Pb"],
  "frac_coords": [[0.000, 0.000, 0.000], [0.500, 0.500, 0.500], [0.000, 0.500, 0.500], [0.500, 0.000, 0.500], [0.500, 0.500, 0.000]],
  "e_form_ev_per_atom": 0.903
}



(10)
{
  "formula": "LaSi2Pt",
  "functional": "PBE-GGA",
  "state": "relaxed",
  "cell": [[4.280, 0.000, 0.000], [0.000, 4.280, 0.000], [0.000, 0.000, 8.707]],
  "species": ["La", "La", "Si", "Si", "Si", "Si", "Pt", "Pt"],
  "frac_coords": [[0.000, 0.000, 0.000], [0.500, 0.500, 0.500], [0.000, 0.000, 0.500], [0.000, 0.500, 0.250], [0.500, 0.000, 0.750], [0.500, 0.500, 0.000], [0.000, 0.500, 0.750], [0.500, 0.000, 0.250]],
  "formation_energy_uncorrected_ev_per_atom": -0.31
}



(11)
{
  "formula": "Sc2SbPt8",
  "functional": "PBE-GGA",
  "state": "relaxed",
  "cell": [[-2.314, 2.905, 7.109], [2.314, -2.905, 7.109], [2.314, 2.905, -7.109]],
  "species": ["Sc", "Sc", "Sb", "Pt", "Pt", "Pt", "Pt", "Pt", "Pt", "Pt", "Pt"],
  "frac_coords": [[0.190, 0.190, 0.000], [0.810, 0.810, 0.000], [0.500, 0.500, 0.000], [0.092, 0.357, 0.736], [0.240, 0.000, 0.240], [0.317, 0.817, 0.500], [0.379, 0.643, 0.736], [0.621, 0.357, 0.264], [0.683, 0.183, 0.500], [0.760, 0.000, 0.760], [0.908, 0.643, 0.264]],
  "formation_energy_uncorrected_ev_per_atom": -0.70
}



(12)
{
  "formula": "Rb2HfBiCl6",
  "functional": "PBE-GGA",
  "state": "relaxed",
  "cell": [[-3.863, 3.863, 6.390], [3.863, -3.863, 6.390], [3.863, 3.863, -6.390]],
  "species": ["Rb", "Rb", "Hf", "Bi", "Cl", "Cl", "Cl", "Cl", "Cl", "Cl"],
  "frac_coords": [[0.250, 0.750, 0.500], [0.750, 0.250, 0.500], [0.000, 0.000, 0.000], [0.500, 0.500, 0.000], [0.194, 0.194, 0.000], [0.226, 0.226, 0.451], [0.226, 0.774, 0.000], [0.774, 0.226, 0.000], [0.774, 0.774, 0.549], [0.806, 0.806, 0.000]],
  "formation_energy_uncorrected_ev_per_atom": -1.40
}



Number 1: calculated total energy -41.8 eV per cell. Number 2: calculated total energy -16.8 eV per cell. Number 3: calculated total energy -30.5 eV per cell. Number 4: calculated total energy -23.1 eV per cell. Number 5: calculated total energy -16.6 eV per cell. Number 6: calculated total energy -24.3 eV per cell. Number 7: calculated total energy -15.9 eV per cell. Number 8: calculated total energy -17.3 eV per cell. Number 9: calculated total energy -21.1 eV per cell. Number 10: calculated total energy -46.1 eV per cell. Number 11: calculated total energy -72.8 eV per cell. Number 12: calculated total energy -40.8 eV per cell.